A PBEsol-optimized structure of Li3Al4. Source: Alexandria, functional meta-GGA SCAN.

Unit cell a=3.345 b=3.345 c=10.381 alpha=99.27 beta=99.27 gamma=90.00
Fractional positions:
Al 0.860 0.860 0.720
Al 0.140 0.140 0.280
Al 0.569 0.569 0.137
Al 0.431 0.431 0.863
Li 0.000 0.000 0.000
Li 0.713 0.713 0.426
Li 0.287 0.287 0.574

Values from the calculation:
Formation energy: -0.07 eV/atom
Calculated total energy: -5.5238 eV/atom
Space-group type: I4/mmm
Crystal system: tetragonal